! Ba2Sr7I18, relaxed, DFT PBE; values from VASP
&SYSTEM
  ibrav = 0, nat = 27, ntyp = 3
/
ATOMIC_SPECIES
I 126.90 I.upf
Sr 87.62 Sr.upf
Ba 137.33 Ba.upf
ATOMIC_POSITIONS crystal
I 0.207 0.979 0.516
I 0.541 0.673 0.644
I 0.707 0.463 0.973
I 0.293 0.537 0.027
I 0.967 0.657 0.578
I 0.226 0.456 0.726
I 0.459 0.327 0.356
I 0.012 0.795 0.914
I 0.408 0.167 0.065
I 0.774 0.544 0.274
I 0.592 0.833 0.935
I 0.620 0.895 0.258
I 0.033 0.343 0.422
I 0.834 0.165 0.804
I 0.166 0.835 0.196
I 0.380 0.105 0.742
I 0.988 0.205 0.086
I 0.793 0.021 0.484
Sr 0.000 0.500 0.000
Sr 0.109 0.105 0.297
Sr 0.332 0.822 0.872
Sr 0.173 0.239 0.610
Sr 0.827 0.761 0.390
Sr 0.891 0.895 0.703
Sr 0.668 0.178 0.128
Ba 0.483 0.634 0.206
Ba 0.517 0.366 0.794
CELL_PARAMETERS angstrom
10.707 0.044 -0.026
1.286 11.282 0.013
5.330 1.699 10.865
! E_form (uncorrected) ... -1.66 eV/atom
! Magnetic moment ... 0.00 μB per cell
! Theoretical density ... 4.01 g/cm³